Record 1
PmSm2Cl, relaxed, DFT PBE; space-group type = R-3m, No. 166; formation energy without anion corrections = -0.678 eV per atom; E_tot = -0.172 hartree per atom; theoretical density = 6.73 g cm⁻³
1.0
3.680 0.000 0.000
1.840 3.187 0.000
1.840 1.062 10.132
Sm Cl Pm
2 1 1
direct
0.739 0.739 0.784
0.261 0.261 0.216
0.000 0.000 0.000
0.500 0.500 0.500


Record 2
LaSbRu3, relaxed, DFT PBE; space-group type = Pm-3m, No. 221; formation energy without anion corrections = 0.621 eV per atom; E_tot = -0.248 hartree per atom; theoretical density = 8.20 g cm⁻³
1.0
-2.585 3.114 2.676
0.224 -3.051 3.766
4.100 2.130 1.482
Sb Ru La
1 3 1
direct
0.000 0.000 0.000
0.500 0.000 0.000
0.000 0.500 0.000
0.000 0.000 0.500
0.500 0.500 0.500


Record 3
CaRhPb2, relaxed, DFT PBE; space-group type = Cm, No. 8; E_tot = -0.161 hartree per atom; E_form = -0.7 eV per formula unit; theoretical density = 9.00 g cm⁻³
1.0
6.938 0.178 -0.339
5.950 3.572 -0.339
1.713 0.498 4.242
Pb Ca Rh
2 1 1
direct
0.815 0.815 0.685
0.999 0.999 0.001
0.192 0.192 0.309
0.494 0.494 0.505


Record 4
LaY2Cd4, relaxed, DFT PBE; space-group type = I4/mmm, No. 139; E_tot = -0.119 hartree per atom; E_form = -1.1 eV per formula unit; theoretical density = 6.09 g cm⁻³
1.0
-1.904 2.465 -4.419
1.886 -4.035 -3.063
-6.201 -2.680 4.483
Cd Y La
4 2 1
direct
0.624 0.124 0.247
0.124 0.624 0.247
0.876 0.376 0.753
0.376 0.876 0.753
0.740 0.740 0.481
0.260 0.260 0.519
0.000 0.000 0.000


Record 5
Y2Ag3SnSe6, relaxed, DFT PBE; space-group type = C2/m, No. 12; formation energy without anion corrections = -0.863 eV per atom; E_tot = -0.174 hartree per atom; theoretical density = 6.07 g cm⁻³
1.0
-2.082 0.437 3.471
-6.232 -3.337 -3.317
5.619 -7.823 1.969
Se Ag Y Sn
6 3 2 1
direct
0.325 0.411 0.650
0.014 0.270 0.029
0.654 0.062 0.309
0.675 0.589 0.350
0.986 0.730 0.971
0.346 0.938 0.691
0.500 0.500 0.000
0.199 0.846 0.398
0.801 0.154 0.602
0.829 0.672 0.658
0.171 0.328 0.342
0.500 0.000 0.000


Record 6
AcTbHo2Sb4, relaxed, DFT PBE; space-group type = P2/m, No. 10; formation energy without anion corrections = -1.115 eV per atom; E_tot = -0.199 hartree per atom; theoretical density = 7.80 g cm⁻³
1.0
-1.873 -2.657 3.103
0.977 -6.137 -4.667
6.929 -3.244 1.404
Sb Ho Ac Tb
4 2 1 1
direct
0.000 0.233 0.266
0.500 0.240 0.744
0.500 0.760 0.256
0.000 0.767 0.734
0.500 0.000 0.500
0.000 0.000 0.000
0.500 0.500 0.000
0.000 0.500 0.500


Record 7
KBa2Ce, relaxed, DFT PBE; space-group type = R-3m, No. 166; E_tot = -0.084 hartree per atom; E_form = 1.7 eV per formula unit; theoretical density = 3.62 g cm⁻³
1.0
3.986 0.000 0.000
1.993 3.452 0.000
1.993 1.151 15.135
Ba Ce K
2 1 1
direct
0.079 0.079 0.762
0.921 0.921 0.238
0.000 0.000 0.000
0.500 0.500 0.500


Record 8
TbPm6Y2Ho3, relaxed, DFT PBE; space-group type = C2/m, No. 12; E_tot = -0.183 hartree per atom; E_form = 0.1 eV per formula unit; theoretical density = 7.17 g cm⁻³
1.0
-3.007 -1.572 -5.245
5.298 -2.920 1.557
-6.889 -6.480 7.127
Pm Ho Y Tb
6 3 2 1
direct
0.417 0.084 0.251
0.583 0.916 0.749
0.916 0.583 0.749
0.084 0.417 0.251
0.249 0.249 0.749
0.751 0.751 0.251
0.167 0.833 0.500
0.833 0.167 0.500
0.500 0.500 0.500
0.667 0.333 0.000
0.333 0.667 0.000
0.000 0.000 0.000


Record 9
Nd2PuMg, relaxed, DFT PBE; space-group type = P4/mmm, No. 123; E_tot = -0.231 hartree per atom; E_form = 0.3 eV per formula unit; theoretical density = 7.74 g cm⁻³
1.0
3.685 0.000 0.000
0.000 5.692 0.000
0.000 0.000 5.692
Mg Pu Nd
1 1 2
direct
0.500 0.000 0.000
0.500 0.500 0.500
0.000 0.000 0.500
0.000 0.500 0.000


Record 10
Nb2VS5, relaxed, DFT PBE; space-group type = Fmmm, No. 69; formation energy without anion corrections = -0.765 eV per atom; E_tot = -0.257 hartree per atom; theoretical density = 3.50 g cm⁻³
1.0
1.150 2.025 3.760
-1.868 -3.963 5.307
6.389 -1.963 1.704
Nb S V
2 5 1
direct
0.186 0.500 0.129
0.814 0.500 0.871
0.455 0.269 0.821
0.776 0.269 0.179
0.000 0.500 0.500
0.545 0.731 0.179
0.224 0.731 0.821
0.500 0.500 0.500


Record 11
LaSi2Te, relaxed, DFT PBE; space-group type = P4/mmm, No. 123; formation energy without anion corrections = -0.168 eV per atom; E_tot = -0.180 hartree per atom; theoretical density = 5.56 g cm⁻³
1.0
3.942 0.000 0.000
0.000 3.940 0.000
0.000 0.000 6.201
La Si Te
1 2 1
direct
0.500 0.500 0.750
0.000 0.000 0.443
0.000 0.000 0.057
0.500 0.500 0.250


Record 12
Rb3Tb2MgS6, relaxed, DFT PBE; space-group type = C2/m, No. 12; formation energy without anion corrections = -1.518 eV per atom; E_tot = -0.174 hartree per atom; theoretical density = 4.03 g cm⁻³
1.0
-1.844 -2.977 -6.054
4.462 -3.261 4.287
-6.778 -1.389 4.095
Rb S Tb Mg
3 6 2 1
direct
0.833 0.167 0.500
0.500 0.500 0.500
0.167 0.833 0.500
0.736 0.736 0.190
0.391 0.063 0.190
0.937 0.609 0.810
0.609 0.937 0.810
0.264 0.264 0.810
0.063 0.391 0.190
0.667 0.333 0.000
0.333 0.667 0.000
0.000 0.000 0.000


Among the records above, which one has the highest theoretical density?
CaRhPb2